Compound: HoAlB14
Source: Alexandria
Functional: PBE
Structure: optimized geometry

ρ: 4.470 g/cm³
SG: Imma, No. 74
final energy: -6.53 eV per atom
total magnetization: 0.0 μB per formula unit

```
HoAlB14
1.0
7.289 -0.003 -0.001
0.240 7.285 0.001
-2.635 -4.809 4.802
B Al Ho
28 2 2
direct
0.968 0.673 0.801
0.032 0.832 0.704
0.777 0.777 0.675
0.017 0.643 0.374
0.968 0.168 0.296
0.223 0.899 0.000
0.628 0.827 0.296
0.372 0.668 0.199
0.757 0.590 0.167
0.601 0.601 0.325
0.399 0.723 0.000
0.077 0.910 0.167
0.769 0.143 0.626
0.628 0.332 0.801
0.366 0.333 0.033
0.223 0.223 0.325
0.799 0.833 0.967
0.983 0.357 0.626
0.634 0.667 0.967
0.231 0.857 0.374
0.201 0.167 0.033
0.923 0.090 0.833
0.372 0.173 0.704
0.032 0.327 0.199
0.777 0.101 0.000
0.399 0.399 0.675
0.243 0.410 0.833
0.601 0.277 0.000
0.000 0.500 0.000
0.000 0.000 0.500
0.400 0.750 0.650
0.600 0.250 0.350
```